## P
Below is crystalline Ba2NiBr at its relaxed geometry, with properties calculated at the GGA-PBEsol level.

The magnetic moment is 0.000 μB per atom. The crystal system is trigonal. The value obtained for the density of states at the Fermi level is 7.44 states/eV per cell.

The structure belongs to space group R-3m (No. 166, hexagonal axes); the cell edges are 4.3547, 4.3547 and 24.5874 Å and the angles 90.00°, 90.00° and 120.00°. The distinct sites, in fractional coordinates, are Ba at (0.0000, 0.0000, 0.2378), Ni at (0.0000, 0.0000, 0.5000) and Br at (0.0000, 0.0000, 0.0000).

---

## Q
Below is crystalline Ba2NiBr at its relaxed geometry, with properties calculated at the GGA-PBEsol level.

The magnetic moment is 0.000 μB per atom. The crystal system is tetragonal. The value obtained for the density of states at the Fermi level is 3.23 states/eV per cell.

The structure belongs to space group P4/mmm (No. 123); the cell edges are 5.5248, 5.5248 and 3.7804 Å and the angles 90.00°, 90.00° and 90.00°. The distinct sites, in fractional coordinates, are Ba at (0.0000, 0.5000, 0.0000), Ni at (0.0000, 0.0000, 0.5000) and Br at (0.5000, 0.5000, 0.5000).

---

Energy above the most stable structure, in eV/atom: P 0.000; Q 0.160

---

## P
Below is crystalline BaOsBr at its relaxed geometry, with properties calculated at the GGA-PBEsol level.

The magnetic moment is 0.025 μB per atom. The crystal system is tetragonal. The value obtained for the density of states at the Fermi level is 8.31 states/eV per cell.

The structure belongs to space group I4mm (No. 107); the cell edges are 3.3444, 3.3444 and 12.5333 Å and the angles 90.00°, 90.00° and 90.00°. The distinct sites, in fractional coordinates, are Ba at (0.0000, 0.0000, 0.0000), Os at (0.0000, 0.0000, 0.3187) and Br at (0.0000, 0.0000, 0.7033).

---

## Q
Below is crystalline BaOsBr at its relaxed geometry, with properties calculated at the GGA-PBEsol level.

The magnetic moment is 0.002 μB per atom. The crystal system is hexagonal. The value obtained for the density of states at the Fermi level is 3.42 states/eV per cell.

The structure belongs to space group P-6m2 (No. 187); the cell edges are 4.3238, 4.3238 and 4.6460 Å and the angles 90.00°, 90.00° and 120.00°. The distinct sites, in fractional coordinates, are Ba at (0.0000, 0.0000, 0.0000), Os at (0.6667, 0.3333, 0.5000) and Br at (0.3333, 0.6667, 0.5000).

---

Energy above the most stable structure, in eV/atom: P 0.379; Q 0.000

---

## P
Below is crystalline Ba2PbBr at its relaxed geometry, with properties calculated at the GGA-PBEsol level.

The magnetic moment is 0.000 μB per atom. The crystal system is orthorhombic. The value obtained for the density of states at the Fermi level is 3.46 states/eV per cell.

The structure belongs to space group Amm2 (No. 38); the cell edges are 5.7922, 4.0228 and 13.0750 Å and the angles 90.00°, 90.00° and 90.00°. The distinct sites, in fractional coordinates, are Ba at (0.0000, 0.0000, 0.0000), Ba at (0.5000, 0.0000, 0.2446), Pb at (0.0000, 0.0000, 0.7336) and Br at (0.5000, 0.0000, 0.4944).

---

## Q
Below is crystalline Ba2PbBr at its relaxed geometry, with properties calculated at the GGA-PBEsol level.

The magnetic moment is 0.000 μB per atom. The crystal system is orthorhombic. The value obtained for the density of states at the Fermi level is 2.85 states/eV per cell.

The structure belongs to space group Pmmm (No. 47); the cell edges are 4.3925, 5.3362 and 6.8750 Å and the angles 90.00°, 90.00° and 90.00°. The distinct sites, in fractional coordinates, are Ba at (0.0000, 0.0000, 0.0000), Ba at (0.5000, 0.5000, 0.5000), Pb at (0.0000, 0.0000, 0.5000) and Br at (0.5000, 0.5000, 0.0000).

---

Energy above the most stable structure, in eV/atom: P 0.009; Q 0.000

---

## P
Below is crystalline Ba2RhBr at its relaxed geometry, with properties calculated at the GGA-PBEsol level.

The magnetic moment is 0.000 μB per atom. The crystal system is tetragonal. The value obtained for the density of states at the Fermi level is 2.32 states/eV per cell.

The structure belongs to space group I-4m2 (No. 119); the cell edges are 4.4610, 4.4610 and 11.4927 Å and the angles 90.00°, 90.00° and 90.00°. The distinct sites, in fractional coordinates, are Ba at (0.0000, 0.0000, 0.0000), Ba at (0.0000, 0.5000, 0.2500), Rh at (0.0000, 0.5000, 0.7500) and Br at (0.0000, 0.0000, 0.5000).

---

## Q
Below is crystalline Ba2RhBr at its relaxed geometry, with properties calculated at the GGA-PBEsol level.

The magnetic moment is 0.000 μB per atom. The crystal system is tetragonal. The value obtained for the density of states at the Fermi level is 1.06 states/eV per cell.

The structure belongs to space group P4/mmm (No. 123); the cell edges are 3.7796, 3.7796 and 8.2343 Å and the angles 90.00°, 90.00° and 90.00°. The distinct sites, in fractional coordinates, are Ba at (0.0000, 0.0000, 0.2179), Rh at (0.5000, 0.5000, 0.0000) and Br at (0.5000, 0.5000, 0.5000).

---

## R
Below is crystalline Ba2RhBr at its relaxed geometry, with properties calculated at the GGA-PBEsol level.

The magnetic moment is 0.000 μB per atom. The crystal system is trigonal. The value obtained for the density of states at the Fermi level is 4.39 states/eV per cell.

The structure belongs to space group R3m (No. 160, hexagonal axes); the cell edges are 4.4236, 4.4236 and 24.2166 Å and the angles 90.00°, 90.00° and 120.00°. The distinct sites, in fractional coordinates, are Ba at (0.0000, 0.0000, 0.0000), Ba at (0.0000, 0.0000, 0.1933), Rh at (0.0000, 0.0000, 0.5975) and Br at (0.0000, 0.0000, 0.4298).

---

Energy above the most stable structure, in eV/atom: P 0.313; Q 0.000; R 0.016

---

## P
Below is crystalline Ba2RhBr at its relaxed geometry, with properties calculated at the GGA-PBEsol level.

The magnetic moment is 0.000 μB per atom. The crystal system is trigonal. The value obtained for the density of states at the Fermi level is 4.07 states/eV per cell.

The structure belongs to space group R-3m (No. 166, hexagonal axes); the cell edges are 4.4839, 4.4839 and 23.6740 Å and the angles 90.00°, 90.00° and 120.00°. The distinct sites, in fractional coordinates, are Ba at (0.0000, 0.0000, 0.2370), Rh at (0.0000, 0.0000, 0.5000) and Br at (0.0000, 0.0000, 0.0000).

---

## Q
Below is crystalline Ba2RhBr at its relaxed geometry, with properties calculated at the GGA-PBEsol level.

The magnetic moment is 0.000 μB per atom. The crystal system is tetragonal. The value obtained for the density of states at the Fermi level is 0.84 states/eV per cell.

The structure belongs to space group P4mm (No. 99); the cell edges are 4.5771, 4.5771 and 6.4001 Å and the angles 90.00°, 90.00° and 90.00°. The distinct sites, in fractional coordinates, are Ba at (0.0000, 0.0000, 0.0000), Ba at (0.5000, 0.5000, 0.4570), Rh at (0.5000, 0.5000, 0.0307) and Br at (0.0000, 0.0000, 0.5023).

---

Energy above the most stable structure, in eV/atom: P 0.000; Q 0.064

---

## P
Below is crystalline BaRh2Br at its relaxed geometry, with properties calculated at the GGA-PBEsol level.

The magnetic moment is 0.261 μB per atom. The crystal system is orthorhombic. The value obtained for the density of states at the Fermi level is 6.15 states/eV per cell.

The structure belongs to space group Imm2 (No. 44); the cell edges are 3.8014, 5.7877 and 8.7922 Å and the angles 90.00°, 90.00° and 90.00°. The distinct sites, in fractional coordinates, are Ba at (0.0000, 0.0000, 0.0000), Rh at (0.0000, 0.0000, 0.4954), Rh at (0.0000, 0.5000, 0.8269) and Br at (0.0000, 0.5000, 0.1875).

---

## Q
Below is crystalline BaRh2Br at its relaxed geometry, with properties calculated at the GGA-PBEsol level.

The magnetic moment is 0.000 μB per atom. The crystal system is monoclinic. The value obtained for the density of states at the Fermi level is 3.46 states/eV per cell.

The structure belongs to space group P2/m (No. 10); the cell edges are 4.6313, 4.3757 and 4.8861 Å and the angles 90.00°, 94.49° and 90.00°. The distinct sites, in fractional coordinates, are Ba at (0.0000, 0.0000, 0.0000), Rh at (0.4354, 0.5000, 0.7524) and Br at (0.5000, 0.0000, 0.5000).

---

Energy above the most stable structure, in eV/atom: P 0.000; Q 0.008